(1)
HfSb2TeRu after structural relaxation, computed with PBE-GGA.

abc: 4.967 4.967 5.482
angles: 90.00 90.00 90.00
Sites, in units of the cell vectors:
Hf 0.000 0.000 0.000
Sb 0.000 0.500 0.500
Sb 0.500 0.000 0.500
Te 0.500 0.500 0.000
Ru 0.500 0.500 0.500

The electronic total energy comes out at -27.4 eV/f.u. The value obtained for the magnetization is 0.000 μB/atom. The energy relative to the elements, uncorrected comes out at 0.634 eV/atom. Its energy above the most stable polymorph in this dataset is 0.00 eV per formula unit. As for the space-group type: P4/mmm, No. 123. Its density of states at the Fermi level is 5.4 states/eV/cell.

=====

(2)
HfVSbRu after structural relaxation, computed with PBE-GGA.

abc: 6.484 6.484 6.484
angles: 90.00 90.00 90.00
Sites, in units of the cell vectors:
Hf 0.000 0.000 0.000
Hf 0.000 0.500 0.500
Hf 0.500 0.000 0.500
Hf 0.500 0.500 0.000
V 0.250 0.250 0.250
V 0.250 0.750 0.750
V 0.750 0.250 0.750
V 0.750 0.750 0.250
Sb 0.000 0.000 0.500
Sb 0.000 0.500 0.000
Sb 0.500 0.000 0.000
Sb 0.500 0.500 0.500
Ru 0.250 0.250 0.750
Ru 0.250 0.750 0.250
Ru 0.750 0.250 0.250
Ru 0.750 0.750 0.750

The electronic total energy comes out at -33.4 eV/f.u. The value obtained for the magnetization is 0.500 μB/atom. The energy relative to the elements, uncorrected comes out at -0.243 eV/atom. As for the space-group type: F-43m, No. 216. Its density of states at the Fermi level is 13.5 states/eV/cell.

=====

(3)
HfZr2SbRu after structural relaxation, computed with PBE-GGA.

abc: 5.217 5.217 4.653
angles: 90.00 90.00 90.00
Sites, in units of the cell vectors:
Hf 0.000 0.000 0.000
Zr 0.000 0.500 0.000
Zr 0.500 0.000 0.000
Sb 0.500 0.500 0.500
Ru 0.000 0.000 0.500

The electronic total energy comes out at -36.0 eV/f.u. The value obtained for the magnetization is 0.000 μB/atom. The energy relative to the elements, uncorrected comes out at 0.889 eV/atom. As for the space-group type: P4/mmm, No. 123. Its density of states at the Fermi level is 6.0 states/eV/cell.

=====

What did the third record say?
HfZr2SbRu after structural relaxation, computed with PBE-GGA.

abc: 5.217 5.217 4.653
angles: 90.00 90.00 90.00
Sites, in units of the cell vectors:
Hf 0.000 0.000 0.000
Zr 0.000 0.500 0.000
Zr 0.500 0.000 0.000
Sb 0.500 0.500 0.500
Ru 0.000 0.000 0.500

The electronic total energy comes out at -36.0 eV/f.u. The value obtained for the magnetization is 0.000 μB/atom. The energy relative to the elements, uncorrected comes out at 0.889 eV/atom. As for the space-group type: P4/mmm, No. 123. Its density of states at the Fermi level is 6.0 states/eV/cell.

=====

- Which formula does entry 2 have?
  HfVSbRu

=====

- Which of these has the highest energy relative to the elements, uncorrected?
  HfZr2SbRu

=====

- Number 3 is which compound?
  HfZr2SbRu